1.
Computed, not measured: a geometry-optimized K2In3Pt4 structure at the PBE level of DFT.

Unit cell a=8.221 b=7.327 c=7.342 alpha=90.00 beta=90.00 gamma=111.77
Element x y z (fractional)
K (0.568, 0.178, 0.345)
K (0.932, 0.822, 0.845)
K (0.432, 0.822, 0.655)
K (0.068, 0.178, 0.155)
In (0.000, 0.500, 0.500)
In (0.500, 0.500, 0.000)
In (0.753, 0.244, 0.866)
In (0.747, 0.756, 0.366)
In (0.247, 0.756, 0.134)
In (0.253, 0.244, 0.634)
Pt (0.902, 0.113, 0.569)
Pt (0.598, 0.887, 0.069)
Pt (0.098, 0.887, 0.431)
Pt (0.402, 0.113, 0.931)
Pt (0.898, 0.531, 0.152)
Pt (0.602, 0.469, 0.652)
Pt (0.102, 0.469, 0.848)
Pt (0.398, 0.531, 0.348)

Values from the calculation:
As for the calculated volume: 22.8 Å³ per atom. The raw total energy is -74.05 eV per cell. Its space-group type is P2_1/c (14). Its crystal system is monoclinic.

---

2.
Computed, not measured: a geometry-optimized K2InPt structure at the PBE level of DFT.

Unit cell a=6.781 b=6.781 c=6.781 alpha=145.10 beta=129.98 gamma=62.44
Element x y z (fractional)
In (0.315, 0.815, 0.500)
K (0.017, 0.017, 0.000)
K (0.709, 0.209, 0.500)
Pt (0.459, 0.459, 0.000)

Values from the calculation:
As for the calculated volume: 33.8 Å³ per atom. The raw total energy is -11.53 eV per cell. Its space-group type is Imm2 (44). Its crystal system is orthorhombic.